1.
A geometry-optimized Er2TmPb structure, computed with PBE-GGA.

Cell and atoms, written as extended XYZ:
```
4
Lattice="-2.208 2.715 -0.036 -1.856 0.784 2.861 7.382 8.320 4.647" Properties=species:S:1:pos:R:3 pbc="T T T"
Er 5.060 6.418 3.662
Pb 0.000 0.000 0.000
Er -1.741 5.401 3.810
Tm 1.659 5.910 3.736
```

Output
D(E_F)	4.3	states/eV/f.u.
space-group type	R-3m, No. 166
total moment	0.00	Bohr magnetons per cell
ΔE_f	50	meV/atom
calculated total energy	-4.2760	eV per atom
energy above the lowest structure with this stoichiometry	300	meV per atom

2.
A geometry-optimized La7Sm2Dy structure, computed with PBE-GGA.

Cell and atoms, written as extended XYZ:
```
10
Lattice="-2.306 -0.773 5.105 -8.397 -1.021 -3.947 5.721 -7.223 1.491" Properties=species:S:1:pos:R:3 pbc="T T T"
Sm -5.342 -3.256 0.226
Dy 0.000 0.000 0.000
La -0.042 -2.620 2.716
La -5.030 -2.500 -2.650
La -2.491 -4.508 1.324
La -1.726 -7.809 1.170
La -3.255 -1.208 1.478
La -4.940 -6.397 -0.068
Sm 0.360 -5.761 2.423
La 2.354 -5.744 0.194
```

Output
D(E_F)	18.0	states/eV/f.u.
space-group type	Cmmm, No. 65
total moment	0.01	Bohr magnetons per cell
ΔE_f	572	meV/atom
calculated total energy	-4.2812	eV per atom
energy above the lowest structure with this stoichiometry	441	meV per atom

3.
A geometry-optimized NaScIrS2 structure, computed with PBE-GGA.

Cell and atoms, written as extended XYZ:
```
5
Lattice="-0.666 -1.470 4.317 -3.738 -2.219 -1.332 2.537 -3.745 -0.883" Properties=species:S:1:pos:R:3 pbc="T T T"
S 1.269 -1.872 -0.442
Na 0.000 0.000 0.000
S -0.333 -0.735 2.159
Ir -0.933 -3.717 1.051
Sc -1.869 -1.109 -0.666
```

Output
D(E_F)	4.6	states/eV/f.u.
formation energy (no corrections)	1041	meV per atom
space-group type	P4/mmm, No. 123
total moment	0.00	Bohr magnetons per cell
calculated total energy	-3.9120	eV per atom

4.
A geometry-optimized DyAl4Au2 structure, computed with PBE-GGA.

Cell and atoms, written as extended XYZ:
```
14
Lattice="4.033 0.000 0.000 0.000 8.090 0.000 0.000 0.000 8.090" Properties=species:S:1:pos:R:3 pbc="T T T"
Al 0.000 2.719 0.682
Au 2.017 2.371 2.371
Al 0.000 0.682 2.719
Al 0.000 7.409 5.371
Dy 0.000 4.045 4.045
Au 0.000 6.416 1.674
Al 2.017 6.764 3.364
Al 2.017 3.364 6.764
Al 0.000 5.371 7.409
Au 0.000 1.674 6.416
Au 2.017 5.720 5.720
Dy 2.017 0.000 0.000
Al 2.017 4.727 1.326
Al 2.017 1.326 4.727
```

Output
D(E_F)	4.1	states/eV/f.u.
space-group type	P4_2/mnm, No. 136
total moment	0.00	Bohr magnetons per cell
ΔE_f	-515	meV/atom
calculated total energy	-4.2476	eV per atom
energy above the lowest structure with this stoichiometry	63	meV per atom

5.
A geometry-optimized ScH2Ir structure, computed with PBE-GGA.

Cell and atoms, written as extended XYZ:
```
4
Lattice="1.120 -2.963 -2.205 -2.049 -3.271 -0.023 -2.054 -0.968 -3.121" Properties=species:S:1:pos:R:3 pbc="T T T"
H -0.746 -1.801 -1.337
Sc 0.000 0.000 0.000
H -2.237 -5.402 -4.011
Ir -1.491 -3.601 -2.674
```

Output
D(E_F)	2.1	states/eV/f.u.
space-group type	Fm-3m, No. 225
total moment	0.00	Bohr magnetons per cell
calculated total energy	-5.5092	eV per atom
energy above the lowest structure with this stoichiometry	403	meV per atom

6.
A geometry-optimized Sn3Hg2S8 structure, computed with PBE-GGA.

Cell and atoms, written as extended XYZ:
```
13
Lattice="-5.794 -3.074 -0.525 1.305 -1.195 -7.409 2.672 -4.915 5.180" Properties=species:S:1:pos:R:3 pbc="T T T"
S -3.760 -4.687 -3.822
Sn -2.897 -1.537 -0.262
S -0.838 -2.597 -1.447
S -0.979 -6.589 -1.307
Sn 0.325 -0.298 -1.844
S -0.106 -3.267 -5.605
S 2.339 -5.399 -2.633
S 1.943 -4.498 1.068
S -1.711 -5.918 2.850
S -4.156 -3.787 -0.121
Sn 0.980 -0.898 -5.564
Hg -0.260 -5.617 0.860
Hg -1.557 -3.568 -3.614
```

Output
formation energy (no corrections)	-267	meV per atom
space-group type	C2/m, No. 12
total moment	0.00	Bohr magnetons per cell
calculated total energy	-3.7773	eV per atom
energy above the lowest structure with this stoichiometry	3	meV per atom

7.
A geometry-optimized RbSmRuO6 structure, computed with PBE-GGA.

Cell and atoms, written as extended XYZ:
```
9
Lattice="5.728 0.000 0.000 2.864 4.961 0.000 0.000 -0.001 6.101" Properties=species:S:1:pos:R:3 pbc="T T T"
Ru 2.864 1.653 3.051
O 4.397 1.774 4.146
O 2.202 0.266 4.146
Rb 8.593 4.960 6.101
O 1.331 1.773 1.955
O 3.734 2.921 1.955
O 1.994 2.921 4.146
O 3.527 0.266 1.955
Sm 5.728 3.307 3.050
```

Output
formation energy (no corrections)	-1478	meV per atom
space-group type	P312, No. 149
total moment	0.00	Bohr magnetons per cell
calculated total energy	-6.4457	eV per atom

8.
A geometry-optimized Sr3U3TaAs8 structure, computed with PBE-GGA.

Cell and atoms, written as extended XYZ:
```
15
Lattice="8.193 0.000 0.000 -4.096 7.095 -0.026 0.000 -4.704 7.275" Properties=species:S:1:pos:R:3 pbc="T T T"
Ta 0.000 -2.352 3.637
As -2.144 3.621 5.102
Sr -2.048 3.547 -0.013
As 0.000 2.372 2.013
As 0.000 -0.092 5.115
U -2.048 1.195 3.625
Sr 2.048 3.547 -0.013
As 2.144 3.621 5.102
As 1.952 -1.230 2.147
U 4.096 -2.352 3.637
Sr 0.000 0.000 0.000
As 4.096 0.019 5.236
As 4.096 2.483 2.134
U 2.048 1.195 3.624
As 6.241 -1.230 2.147
```

Output
D(E_F)	18.9	states/eV/f.u.
space-group type	R-3m, No. 166
total moment	5.01	Bohr magnetons per cell
ΔE_f	-738	meV/atom
calculated total energy	-6.6024	eV per atom